Material: Li2LaMg2Tl2
Method: DFT, PBE
State: optimized geometry

Calculated values
Density = 5.93 Mg/m³

Cell lengths 4.8274, 4.8274, 25.4098 Å; angles 90.00, 90.00, 120.00 degrees
Space group R-3m (No. 166, hexagonal axes)
Asymmetric unit:
1 Li 0.0000 0.0000 0.0681 [6 per cell]
2 La 0.0000 0.0000 0.5000 [3 per cell]
3 Mg 0.0000 0.0000 0.3627 [6 per cell]
4 Tl 0.0000 0.0000 0.2423 [6 per cell]

---

Material: Li2La2TmMg5
Method: DFT, PBE
State: optimized geometry

Calculated values
Density = 3.68 Mg/m³

Cell lengths 10.789, 10.789, 4.513 Å; angles 90.00, 90.00, 90.00 degrees
Space group P4/mbm (No. 127)
Asymmetric unit:
1 Li 0.113 0.387 0.000 [4 per cell]
2 La 0.182 0.682 0.000 [4 per cell]
3 Tm 0.000 0.000 0.000 [2 per cell]
4 Mg 0.000 0.500 0.500 [2 per cell]
5 Mg 0.059 0.213 0.500 [8 per cell]

---

no.,uncorrected energy (eV per cell),energy of formation from the pure elements (meV/atom),N(E_F) (states/eV/f.u.)
1,-55.355,-254,4.291
2,-53.236,-49,10.417